# PBE TlTe2Pt, optimized geometry
data_TlTe2Pt
_symmetry_space_group_name_H-M 'P 4/m m m'
_symmetry_Int_Tables_number 123
_symmetry_space_group_name_Hall '-P 4 2'
_cell_length_a 3.5379
_cell_length_b 3.5379
_cell_length_c 8.3656
_cell_angle_alpha 90.00
_cell_angle_beta 90.00
_cell_angle_gamma 90.00
loop_
_atom_site_label
_atom_site_fract_x
_atom_site_fract_y
_atom_site_fract_z
_atom_site_occupancy
Tl1 0.0000 0.0000 0.0000 1
Te1 0.5000 0.5000 0.3116 1
Pt1 0.0000 0.0000 0.5000 1
# Crystal system: tetragonal
# Energy above the most stable polymorph in this dataset (eV/atom): 0.379
# Total DFT energy (no corrections) (eV per cell): -14.3
# Uncorrected formation energy (eV/f.u.): 0.345